The following is a PBE-GGA calculation of a relaxed Nd8Sm2Er3 crystal, from Alexandria.

Energy above the most stable polymorph in this dataset (meV/atom): 40
Space-group type: C2/m
Spin magnetization (μB per formula unit): 0.00

Lattice parameters (Å, degrees): 11.009 11.009 5.716 90.01 90.01 41.06
Fractional coordinates of all 13 atoms:
1 Nd 0.100 0.692 0.000
2 Nd 0.172 0.172 0.500
3 Nd 0.308 0.900 0.000
4 Nd 0.370 0.370 0.500
5 Nd 0.630 0.630 0.500
6 Nd 0.692 0.100 0.000
7 Nd 0.828 0.828 0.500
8 Nd 0.900 0.308 0.000
9 Sm 0.260 0.260 0.001
10 Sm 0.740 0.740 0.999
11 Er 0.215 0.785 0.500
12 Er 0.500 0.500 0.000
13 Er 0.785 0.215 0.500

The following is a PBE-GGA calculation of a relaxed Nd3SmEr2 crystal, from Alexandria.

Energy above the most stable polymorph in this dataset (meV/atom): 52
Space-group type: Immm
Spin magnetization (μB per formula unit): 0.00

Lattice parameters (Å, degrees): 10.420 10.420 10.420 160.62 146.79 38.74
Fractional coordinates of all 6 atoms:
1 Nd 0.000 0.000 0.000
2 Nd 0.309 0.809 0.500
3 Nd 0.691 0.191 0.500
4 Sm 0.500 0.000 0.500
5 Er 0.137 0.637 0.500
6 Er 0.863 0.363 0.500

The following is a PBE-GGA calculation of a relaxed NdSm2Er9 crystal, from Alexandria.

Energy above the most stable polymorph in this dataset (meV/atom): 0
Space-group type: P4/mmm
Spin magnetization (μB per formula unit): 0.00

Lattice parameters (Å, degrees): 5.007 5.007 15.017 90.00 90.00 90.00
Fractional coordinates of all 12 atoms:
1 Nd 0.000 0.000 0.000
2 Sm 0.000 0.000 0.334
3 Sm 0.000 0.000 0.666
4 Er 0.000 0.500 0.167
5 Er 0.000 0.500 0.500
6 Er 0.000 0.500 0.833
7 Er 0.500 0.000 0.167
8 Er 0.500 0.000 0.500
9 Er 0.500 0.000 0.833
10 Er 0.500 0.500 0.000
11 Er 0.500 0.500 0.334
12 Er 0.500 0.500 0.666

The following is a PBE-GGA calculation of a relaxed Nd3SmEr12 crystal, from Alexandria.

Space-group type: P4/mmm
Spin magnetization (μB per formula unit): 0.00

Lattice parameters (Å, degrees): 5.013 5.013 20.071 90.00 90.00 90.00
Fractional coordinates of all 16 atoms:
1 Nd 0.000 0.000 0.000
2 Nd 0.000 0.000 0.250
3 Nd 0.000 0.000 0.750
4 Sm 0.000 0.000 0.500
5 Er 0.000 0.500 0.125
6 Er 0.000 0.500 0.376
7 Er 0.000 0.500 0.624
8 Er 0.000 0.500 0.875
9 Er 0.500 0.000 0.125
10 Er 0.500 0.000 0.376
11 Er 0.500 0.000 0.624
12 Er 0.500 0.000 0.875
13 Er 0.500 0.500 0.000
14 Er 0.500 0.500 0.251
15 Er 0.500 0.500 0.500
16 Er 0.500 0.500 0.749

The following is a PBE-GGA calculation of a relaxed Nd4Sm3Er8 crystal, from Alexandria.

Energy above the most stable polymorph in this dataset (meV/atom): 238
Space-group type: C2/m
Spin magnetization (μB per formula unit): 0.00

Lattice parameters (Å, degrees): 9.297 9.297 6.759 111.26 111.26 87.51
Fractional coordinates of all 15 atoms:
1 Nd 0.000 0.000 0.000
2 Nd 0.000 0.000 0.500
3 Nd 0.000 0.500 0.000
4 Nd 0.500 0.000 0.000
5 Sm 0.000 0.500 0.500
6 Sm 0.500 0.000 0.500
7 Sm 0.500 0.500 0.000
8 Er 0.256 0.744 0.000
9 Er 0.268 0.268 0.508
10 Er 0.269 0.269 0.030
11 Er 0.362 0.638 0.500
12 Er 0.638 0.362 0.500
13 Er 0.731 0.731 0.970
14 Er 0.732 0.732 0.492
15 Er 0.744 0.256 0.000

The following is a PBE-GGA calculation of a relaxed Nd7SmEr2 crystal, from Alexandria.

Energy above the most stable polymorph in this dataset (meV/atom): 622
Space-group type: Cmmm
Spin magnetization (μB per formula unit): 0.00

Lattice parameters (Å, degrees): 9.279 9.279 5.738 90.00 90.00 122.36
Fractional coordinates of all 10 atoms:
1 Nd 0.000 0.000 0.000
2 Nd 0.205 0.436 0.000
3 Nd 0.274 0.726 0.500
4 Nd 0.436 0.205 0.000
5 Nd 0.564 0.795 0.000
6 Nd 0.726 0.274 0.500
7 Nd 0.795 0.564 0.000
8 Sm 0.500 0.500 0.500
9 Er 0.205 0.795 0.000
10 Er 0.795 0.205 0.000

The following is a PBE-GGA calculation of a relaxed Nd2Sm2Er crystal, from Alexandria.

Energy above the most stable polymorph in this dataset (meV/atom): 9
Space-group type: C2/m
Spin magnetization (μB per formula unit): 0.00

Lattice parameters (Å, degrees): 6.199 6.199 8.842 110.78 110.78 32.80
Fractional coordinates of all 5 atoms:
1 Nd 0.176 0.176 0.299
2 Nd 0.824 0.824 0.701
3 Sm 0.393 0.393 0.089
4 Sm 0.607 0.607 0.911
5 Er 0.500 0.500 0.500

The following is a PBE-GGA calculation of a relaxed Nd2SmEr7 crystal, from Alexandria.

Energy above the most stable polymorph in this dataset (meV/atom): 0
Space-group type: Immm
Spin magnetization (μB per formula unit): 0.01

Lattice parameters (Å, degrees): 9.452 9.452 9.452 146.58 136.40 56.03
Fractional coordinates of all 10 atoms:
1 Nd 0.198 0.198 0.000
2 Nd 0.802 0.802 0.000
3 Sm 0.500 0.000 0.500
4 Er 0.000 0.000 0.000
5 Er 0.143 0.393 0.750
6 Er 0.300 0.800 0.500
7 Er 0.357 0.607 0.750
8 Er 0.643 0.393 0.250
9 Er 0.700 0.200 0.500
10 Er 0.857 0.607 0.250

Asked for density of states at the Fermi level across the records above, the calculation gives 19.1 11.1 16.8 22.6 30.5 14.8 7.8 17.3 states/eV per cell in order.
Asked for ΔE_f across the records above, the calculation gives 200 335 24 24 364 639 145 56 meV/atom in order.